*one*
Here is crystalline KEuCd2 at its relaxed geometry from Alexandria via LeMat-Bulk. Energies are from PBE-GGA.

**N(E_F)**: 22.9 states/eV/cell
**Magnetic moment**: 7.69 μB/f.u.

a = 3.9725 Å, b = 3.9725 Å, c = 32.2047 Å
α = 90.00°, β = 90.00°, γ = 120.00°
Sites, in units of the cell vectors:
K 0.0000 0.0000 0.0000
K 0.3333 0.6667 0.6667
K 0.6667 0.3333 0.3333
Eu 0.0000 0.0000 0.5000
Eu 0.3333 0.6667 0.1667
Eu 0.6667 0.3333 0.8333
Cd 0.0000 0.0000 0.2441
Cd 0.0000 0.0000 0.7559
Cd 0.3333 0.6667 0.4226
Cd 0.3333 0.6667 0.9107
Cd 0.6667 0.3333 0.0893
Cd 0.6667 0.3333 0.5774

*two*
Here is crystalline KEuCd2 at its relaxed geometry from Alexandria via LeMat-Bulk. Energies are from PBE-GGA.

**N(E_F)**: 3.2 states/eV/cell
**Magnetic moment**: 7.32 μB/f.u.

a = 3.9921 Å, b = 3.9921 Å, c = 8.6727 Å
α = 90.00°, β = 90.00°, γ = 90.00°
Sites, in units of the cell vectors:
K 0.0000 0.0000 0.0000
Eu 0.0000 0.0000 0.5000
Cd 0.5000 0.5000 0.2876
Cd 0.5000 0.5000 0.7124

*three*
Here is crystalline KEuCd2 at its relaxed geometry from Alexandria via LeMat-Bulk. Energies are from PBE-GGA.

**N(E_F)**: 42.0 states/eV/cell
**Magnetic moment**: 7.65 μB/f.u.

a = 8.1283 Å, b = 8.1283 Å, c = 8.1283 Å
α = 90.00°, β = 90.00°, γ = 90.00°
Sites, in units of the cell vectors:
K 0.0000 0.0000 0.0000
K 0.0000 0.5000 0.5000
K 0.5000 0.0000 0.5000
K 0.5000 0.5000 0.0000
Eu 0.0000 0.0000 0.5000
Eu 0.0000 0.5000 0.0000
Eu 0.5000 0.0000 0.0000
Eu 0.5000 0.5000 0.5000
Cd 0.2500 0.2500 0.2500
Cd 0.2500 0.2500 0.7500
Cd 0.2500 0.7500 0.2500
Cd 0.2500 0.7500 0.7500
Cd 0.7500 0.2500 0.2500
Cd 0.7500 0.2500 0.7500
Cd 0.7500 0.7500 0.2500
Cd 0.7500 0.7500 0.7500

Least stable = *one*

*one*
Here is crystalline Li2EuCd at its relaxed geometry from Alexandria via LeMat-Bulk. Energies are from PBE-GGA.

**N(E_F)**: 11.5 states/eV/cell
**Magnetic moment**: 7.94 μB/f.u.

a = 4.6861 Å, b = 4.6861 Å, c = 4.9167 Å
α = 90.00°, β = 90.00°, γ = 90.00°
Sites, in units of the cell vectors:
Li 0.0000 0.5000 0.0000
Li 0.5000 0.0000 0.0000
Eu 0.0000 0.0000 0.5000
Cd 0.5000 0.5000 0.5000

*two*
Here is crystalline Li2EuCd at its relaxed geometry from Alexandria via LeMat-Bulk. Energies are from PBE-GGA.

**N(E_F)**: 6.5 states/eV/cell
**Magnetic moment**: 7.55 μB/f.u.

a = 3.6540 Å, b = 3.6540 Å, c = 7.3722 Å
α = 90.00°, β = 90.00°, γ = 90.00°
Sites, in units of the cell vectors:
Li 0.0000 0.0000 0.1851
Li 0.0000 0.0000 0.8149
Eu 0.5000 0.5000 0.5000
Cd 0.5000 0.5000 0.0000

*three*
Here is crystalline Li2EuCd at its relaxed geometry from Alexandria via LeMat-Bulk. Energies are from PBE-GGA.

**N(E_F)**: 36.6 states/eV/cell
**Magnetic moment**: 7.71 μB/f.u.

a = 7.2659 Å, b = 7.2659 Å, c = 7.2659 Å
α = 90.00°, β = 90.00°, γ = 90.00°
Sites, in units of the cell vectors:
Li 0.2500 0.2500 0.2500
Li 0.2500 0.2500 0.7500
Li 0.2500 0.7500 0.2500
Li 0.2500 0.7500 0.7500
Li 0.7500 0.2500 0.2500
Li 0.7500 0.2500 0.7500
Li 0.7500 0.7500 0.2500
Li 0.7500 0.7500 0.7500
Eu 0.0000 0.0000 0.0000
Eu 0.0000 0.5000 0.5000
Eu 0.5000 0.0000 0.5000
Eu 0.5000 0.5000 0.0000
Cd 0.0000 0.0000 0.5000
Cd 0.0000 0.5000 0.0000
Cd 0.5000 0.0000 0.0000
Cd 0.5000 0.5000 0.5000

Least stable = *one*

*one*
Here is crystalline EuLu2Cd at its relaxed geometry from Alexandria via LeMat-Bulk. Energies are from PBE-GGA.

**N(E_F)**: 4.3 states/eV/cell
**Magnetic moment**: 7.81 μB/f.u.

a = 3.5562 Å, b = 3.5562 Å, c = 9.3755 Å
α = 90.00°, β = 90.00°, γ = 90.00°
Sites, in units of the cell vectors:
Eu 0.0000 0.0000 0.0000
Lu 0.5000 0.5000 0.2890
Lu 0.5000 0.5000 0.7110
Cd 0.0000 0.0000 0.5000

*two*
Here is crystalline EuLu2Cd at its relaxed geometry from Alexandria via LeMat-Bulk. Energies are from PBE-GGA.

**N(E_F)**: 15.4 states/eV/cell
**Magnetic moment**: 7.17 μB/f.u.

a = 7.6843 Å, b = 7.6843 Å, c = 7.6843 Å
α = 90.00°, β = 90.00°, γ = 90.00°
Sites, in units of the cell vectors:
Eu 0.0000 0.0000 0.0000
Eu 0.0000 0.5000 0.5000
Eu 0.5000 0.0000 0.5000
Eu 0.5000 0.5000 0.0000
Lu 0.2500 0.2500 0.2500
Lu 0.2500 0.2500 0.7500
Lu 0.2500 0.7500 0.2500
Lu 0.2500 0.7500 0.7500
Lu 0.7500 0.2500 0.2500
Lu 0.7500 0.2500 0.7500
Lu 0.7500 0.7500 0.2500
Lu 0.7500 0.7500 0.7500
Cd 0.0000 0.0000 0.5000
Cd 0.0000 0.5000 0.0000
Cd 0.5000 0.0000 0.0000
Cd 0.5000 0.5000 0.5000

Least stable = *two*

*one*
Here is crystalline EuLuCd at its relaxed geometry from Alexandria via LeMat-Bulk. Energies are from PBE-GGA.

**N(E_F)**: 2.7 states/eV/cell
**Magnetic moment**: 7.38 μB/f.u.

a = 5.3310 Å, b = 5.3310 Å, c = 3.7204 Å
α = 90.00°, β = 90.00°, γ = 120.00°
Sites, in units of the cell vectors:
Eu 0.0000 0.0000 0.0000
Lu 0.3333 0.6667 0.5205
Cd 0.6667 0.3333 0.4445

*two*
Here is crystalline EuLuCd at its relaxed geometry from Alexandria via LeMat-Bulk. Energies are from PBE-GGA.

**N(E_F)**: 6.8 states/eV/cell
**Magnetic moment**: 7.59 μB/f.u.

a = 3.7382 Å, b = 3.7382 Å, c = 12.9929 Å
α = 90.00°, β = 90.00°, γ = 90.00°
Sites, in units of the cell vectors:
Eu 0.0000 0.0000 0.0000
Eu 0.5000 0.5000 0.5000
Lu 0.0000 0.0000 0.2952
Lu 0.5000 0.5000 0.7952
Cd 0.0000 0.0000 0.6667
Cd 0.5000 0.5000 0.1667

Least stable = *one*

*one*
Here is crystalline EuLuCd2 at its relaxed geometry from Alexandria via LeMat-Bulk. Energies are from PBE-GGA.

**N(E_F)**: 31.4 states/eV/cell
**Magnetic moment**: 7.07 μB/f.u.

a = 7.5883 Å, b = 7.5883 Å, c = 7.5883 Å
α = 90.00°, β = 90.00°, γ = 90.00°
Sites, in units of the cell vectors:
Eu 0.0000 0.0000 0.0000
Eu 0.0000 0.5000 0.5000
Eu 0.5000 0.0000 0.5000
Eu 0.5000 0.5000 0.0000
Lu 0.0000 0.0000 0.5000
Lu 0.0000 0.5000 0.0000
Lu 0.5000 0.0000 0.0000
Lu 0.5000 0.5000 0.5000
Cd 0.2500 0.2500 0.2500
Cd 0.2500 0.2500 0.7500
Cd 0.2500 0.7500 0.2500
Cd 0.2500 0.7500 0.7500
Cd 0.7500 0.2500 0.2500
Cd 0.7500 0.2500 0.7500
Cd 0.7500 0.7500 0.2500
Cd 0.7500 0.7500 0.7500

*two*
Here is crystalline EuLuCd2 at its relaxed geometry from Alexandria via LeMat-Bulk. Energies are from PBE-GGA.

**N(E_F)**: 9.1 states/eV/cell
**Magnetic moment**: 7.14 μB/f.u.

a = 3.7774 Å, b = 3.7774 Å, c = 7.6905 Å
α = 90.00°, β = 90.00°, γ = 90.00°
Sites, in units of the cell vectors:
Eu 0.0000 0.0000 0.0000
Lu 0.0000 0.0000 0.5000
Cd 0.5000 0.5000 0.2783
Cd 0.5000 0.5000 0.7217

Least stable = *one*

*one*
Here is crystalline Eu2MgCd at its relaxed geometry from Alexandria via LeMat-Bulk. Energies are from PBE-GGA.

**N(E_F)**: 57.5 states/eV/cell
**Magnetic moment**: 14.41 μB/f.u.

a = 7.9445 Å, b = 7.9445 Å, c = 7.9445 Å
α = 90.00°, β = 90.00°, γ = 90.00°
Sites, in units of the cell vectors:
Eu 0.2500 0.2500 0.2500
Eu 0.2500 0.2500 0.7500
Eu 0.2500 0.7500 0.2500
Eu 0.2500 0.7500 0.7500
Eu 0.7500 0.2500 0.2500
Eu 0.7500 0.2500 0.7500
Eu 0.7500 0.7500 0.2500
Eu 0.7500 0.7500 0.7500
Mg 0.0000 0.0000 0.0000
Mg 0.0000 0.5000 0.5000
Mg 0.5000 0.0000 0.5000
Mg 0.5000 0.5000 0.0000
Cd 0.0000 0.0000 0.5000
Cd 0.0000 0.5000 0.0000
Cd 0.5000 0.0000 0.0000
Cd 0.5000 0.5000 0.5000

*two*
Here is crystalline Eu2MgCd at its relaxed geometry from Alexandria via LeMat-Bulk. Energies are from PBE-GGA.

**N(E_F)**: 13.9 states/eV/cell
**Magnetic moment**: 14.46 μB/f.u.

a = 3.9654 Å, b = 3.9654 Å, c = 7.9841 Å
α = 90.00°, β = 90.00°, γ = 90.00°
Sites, in units of the cell vectors:
Eu 0.0000 0.0000 0.2408
Eu 0.0000 0.0000 0.7592
Mg 0.5000 0.5000 0.5000
Cd 0.5000 0.5000 0.0000

Least stable = *one*